# 1
YEr3Te4: relaxed, GGA-PBE.

The space group is Pmn2_1 (No. 31) and the conventional cell measures 9.2466, 7.8872 and 8.2214 Å, with angles of 90.00, 90.00 and 90.00 degrees. Symmetry generates all atoms from Y at (0.0000, 0.1191, 0.0000), Er at (0.0000, 0.8398, 0.3661), Er at (0.2003, 0.7113, 0.9976), Te at (0.0000, 0.2199, 0.3594), Te at (0.0000, 0.8445, 0.7395) and Te at (0.2246, 0.3580, 0.8494).

As for the calculated volume: 300 Å³/f.u. Its total magnetization is 4.09 Bohr magnetons per cell. The energy above the most stable polymorph in this dataset comes out at 298 meV per atom. The energy is -80.40 eV for the cell shown. The raw formation energy is -935 meV/atom.


# 2
LiScAl2: relaxed, GGA-PBE.

The space group is I-42d (No. 122) and the conventional cell measures 4.0235, 4.0235 and 19.7853 Å, with angles of 90.00, 90.00 and 90.00 degrees. Symmetry generates all atoms from Li at (0.0000, 0.0000, 0.0000), Sc at (0.0000, 0.0000, 0.5000) and Al at (0.2427, 0.2500, 0.1250).

As for the calculated volume: 80 Å³/f.u. Its total magnetization is 0.00 Bohr magnetons per cell. For the formation energy, the calculation gives 0.1651 eV per atom. The energy is -60.28 eV for the cell shown.